The following is a PBE calculation of a relaxed Ni4AgCl crystal, from the Alexandria database.

crystal system: cubic
density of states at the Fermi level: 14.69 states/eV/f.u.
energy: -24.64 eV/f.u.
space-group type: F-43m (216)

Lattice parameters (Å, degrees): 4.9056 4.9056 4.9056 60.00 60.00 60.00
Site moments in Bohr magnetons follow the coordinates.
Fractional coordinates of all 6 atoms:
Cl: 0.0000 0.0000 0.0000  0.11
Ni: 0.1264 0.6245 0.6245  0.69
Ni: 0.6245 0.1264 0.6245  0.69
Ag: 0.2500 0.2500 0.2500  0.00
Ni: 0.6245 0.6245 0.1264  0.69
Ni: 0.6245 0.6245 0.6245  0.69

=====

The following is a PBE calculation of a relaxed NiAgCl6 crystal, from the Alexandria database.

crystal system: monoclinic
density of states at the Fermi level: 8.61 states/eV/f.u.
energy: -22.21 eV/f.u.
space-group type: C2/m (12)

Lattice parameters (Å, degrees): 7.6359 6.5647 6.9219 79.67 72.04 54.44
Site moments in Bohr magnetons follow the coordinates.
Fractional coordinates of all 8 atoms:
Cl: 0.8160 0.2900 0.7982  0.01
Cl: 0.4596 0.0000 0.3760  0.00
Cl: 0.8940 0.2900 0.2018  0.01
Ni: 0.0000 0.0000 0.0000  0.27
Cl: 0.1840 0.7100 0.2018  0.01
Cl: 0.5404 0.0000 0.6240  0.00
Cl: 0.1060 0.7100 0.7982  0.01
Ag: 0.0000 0.0000 0.5000  0.01

=====

The following is a PBE calculation of a relaxed Ni2Ag4Cl9 crystal, from the Alexandria database.

crystal system: triclinic
density of states at the Fermi level: 10.43 states/eV/f.u.
energy: -46.54 eV/f.u.
space-group type: P-1 (2)

Lattice parameters (Å, degrees): 6.6908 6.6986 18.9706 105.26 90.07 59.94
Site moments in Bohr magnetons follow the coordinates.
Fractional coordinates of all 30 atoms:
Cl: 0.6787 0.2856 0.2538  0.09
Cl: 0.6902 0.4335 0.9139  0.05
Cl: 0.7949 0.1540 0.5973  0.05
Cl: 0.7277 0.8968 0.0953  0.03
Ag: 0.7276 0.5003 0.0604  0.00
Cl: 0.9656 0.7117 0.2461  0.09
Cl: 0.2723 0.1032 0.9047  0.03
Cl: 0.0507 0.1532 0.0974  0.05
Ni: 0.9974 0.9331 0.1656  1.16
Ag: 0.3296 0.2727 0.1699  -0.05
Cl: 0.3098 0.5665 0.0861  0.05
Ag: 0.2288 0.5007 0.4405  0.00
Cl: 0.9493 0.8468 0.9026  0.05
Cl: 0.3743 0.8970 0.5954  0.03
Ag: 0.6704 0.7273 0.8301  -0.05
Cl: 0.2051 0.8460 0.4027  0.05
Ni: 0.9318 0.0651 0.3342  1.16
Ni: 0.0026 0.0669 0.8344  1.16
Cl: 0.3213 0.7144 0.7462  0.09
Ag: 0.6038 0.7263 0.3303  -0.05
Ag: 0.3962 0.2737 0.6697  -0.05
Ag: 0.7712 0.4993 0.5595  0.00
Cl: 0.7643 0.0019 0.7501  0.09
Ag: 0.2724 0.4997 0.9396  0.00
Cl: 0.0344 0.2883 0.7539  0.09
Cl: 0.8782 0.4322 0.4136  0.05
Cl: 0.2357 0.9981 0.2499  0.09
Cl: 0.1218 0.5678 0.5864  0.05
Ni: 0.0682 0.9349 0.6658  1.16
Cl: 0.6257 0.1030 0.4046  0.03

=====

The following is a PBE calculation of a relaxed Ni2AgCl8 crystal, from the Alexandria database.

crystal system: monoclinic
density of states at the Fermi level: 4.25 states/eV/f.u.
energy: -32.90 eV/f.u.
space-group type: C2/c (15)

Lattice parameters (Å, degrees): 8.3677 9.5047 10.5361 74.19 66.60 63.88
Site moments in Bohr magnetons follow the coordinates.
Fractional coordinates of all 22 atoms:
Ni: 0.6635 0.6434 0.5394  1.56
Cl: 0.8489 0.5525 0.3374  0.13
Ni: 0.3365 0.3566 0.4606  1.56
Cl: 0.7558 0.8169 0.5493  0.28
Ag: 0.9942 0.2500 0.7500  -0.12
Cl: 0.8531 0.0525 0.7924  0.11
Ni: 0.1537 0.1434 0.0394  1.56
Cl: 0.6659 0.7639 0.9488  0.30
Cl: 0.2442 0.1831 0.4507  0.28
Cl: 0.3785 0.7361 0.5512  0.30
Cl: 0.8780 0.3169 0.0493  0.28
Cl: 0.1469 0.9475 0.2076  0.11
Cl: 0.7389 0.9475 0.1626  0.13
Cl: 0.6215 0.2639 0.4488  0.30
Cl: 0.3021 0.5525 0.2924  0.11
Cl: 0.1220 0.6831 0.9507  0.28
Cl: 0.2611 0.0525 0.8374  0.13
Ni: 0.8463 0.8566 0.9606  1.56
Cl: 0.3341 0.2361 0.0512  0.30
Cl: 0.6979 0.4475 0.7076  0.11
Cl: 0.1511 0.4475 0.6626  0.13
Ag: 0.0058 0.7500 0.2500  -0.12

=====

Looking at ρ for the records above, in order, we have 7.52 2.35 4.11 2.46 g/cm3.
Looking at uncorrected formation energy for the records above, in order, we have 0.5303 -0.3123 -0.4636 -0.3375 eV/atom.